First-principles (PBE-GGA) data for an optimized crystal structure of MoRh2Pb, as listed in Alexandria.

The structure in CIF format:
```
data_MoRh2Pb
_chemical_formula_sum 'Mo4 Rh8 Pb4'
_symmetry_space_group_name_H-M 'F -4 3 m'
_symmetry_Int_Tables_number 216
_symmetry_space_group_name_Hall 'F -4 2 3'
_cell_length_a 6.446
_cell_length_b 6.446
_cell_length_c 6.446
_cell_angle_alpha 90.00
_cell_angle_beta 90.00
_cell_angle_gamma 90.00
loop_
_atom_site_label
_atom_site_type_symbol
_atom_site_fract_x
_atom_site_fract_y
_atom_site_fract_z
Mo1 Mo 0.000 0.000 0.000
Rh1 Rh 0.000 0.000 0.500
Rh2 Rh 0.250 0.250 0.750
Pb1 Pb 0.250 0.250 0.250
```

Properties
DOS(E_F): 13.8 states/eV/cell
crystal system: cubic
ρ: 12.62 g/cm³
calculated formation energy: 1.19 eV/f.u.

=====

First-principles (PBE-GGA) data for an optimized crystal structure of MoRh2Pb, as listed in Alexandria.

The structure in CIF format:
```
data_MoRh2Pb
_chemical_formula_sum 'Mo2 Rh4 Pb2'
_symmetry_space_group_name_H-M 'C 1 2/m 1'
_symmetry_Int_Tables_number 12
_cell_length_a 9.157
_cell_length_b 2.978
_cell_length_c 5.030
_cell_angle_alpha 90.00
_cell_angle_beta 98.76
_cell_angle_gamma 90.00
loop_
_symmetry_equiv_pos_as_xyz
'x,y,z'
'-x,-y,-z'
'-x,y,-z'
'x,-y,z'
'x+1/2,y+1/2,z'
'-x+1/2,-y+1/2,-z'
'-x+1/2,y+1/2,-z'
'x+1/2,-y+1/2,z'
loop_
_atom_site_label
_atom_site_type_symbol
_atom_site_fract_x
_atom_site_fract_y
_atom_site_fract_z
Mo1 Mo 0.000 0.000 0.000
Rh1 Rh 0.245 0.500 0.225
Pb1 Pb 0.000 0.500 0.500
```

Properties
DOS(E_F): 8.2 states/eV/cell
crystal system: monoclinic
ρ: 12.47 g/cm³
calculated formation energy: 0.89 eV/f.u.

=====

First-principles (PBE-GGA) data for an optimized crystal structure of MoRhPb2, as listed in Alexandria.

The structure in CIF format:
```
data_MoRhPb2
_chemical_formula_sum 'Mo2 Rh2 Pb4'
_symmetry_space_group_name_H-M 'C 1 m 1'
_symmetry_Int_Tables_number 8
_cell_length_a 10.600
_cell_length_b 3.113
_cell_length_c 5.257
_cell_angle_alpha 90.00
_cell_angle_beta 111.23
_cell_angle_gamma 90.00
loop_
_symmetry_equiv_pos_as_xyz
'x,y,z'
'x,-y,z'
'x+1/2,y+1/2,z'
'x+1/2,-y+1/2,z'
loop_
_atom_site_label
_atom_site_type_symbol
_atom_site_fract_x
_atom_site_fract_y
_atom_site_fract_z
Mo1 Mo 0.000 0.000 0.000
Rh1 Rh 0.195 0.500 0.357
Pb1 Pb 0.242 0.000 0.868
Pb2 Pb 0.453 0.000 0.483
```

Properties
DOS(E_F): 7.1 states/eV/cell
crystal system: monoclinic
ρ: 12.60 g/cm³
calculated formation energy: 1.64 eV/f.u.
energy above the most stable polymorph in this dataset: 0.208 eV per atom

=====

First-principles (PBE-GGA) data for an optimized crystal structure of MoRh3Pb, as listed in Alexandria.

The structure in CIF format:
```
data_MoRh3Pb
_chemical_formula_sum 'Mo1 Rh3 Pb1'
_symmetry_space_group_name_H-M 'P m -3 m'
_symmetry_Int_Tables_number 221
_symmetry_space_group_name_Hall '-P 4 2 3'
_cell_length_a 4.744
_cell_length_b 4.744
_cell_length_c 4.744
_cell_angle_alpha 90.00
_cell_angle_beta 90.00
_cell_angle_gamma 90.00
loop_
_atom_site_label
_atom_site_type_symbol
_atom_site_fract_x
_atom_site_fract_y
_atom_site_fract_z
Mo1 Mo 0.000 0.000 0.000
Rh1 Rh 0.000 0.000 0.500
Pb1 Pb 0.500 0.500 0.500
```

Properties
DOS(E_F): 5.5 states/eV/cell
crystal system: cubic
ρ: 9.52 g/cm³
calculated formation energy: 4.19 eV/f.u.
energy above the most stable polymorph in this dataset: 0.000 eV per atom